(1)
Material: MgGeI2O
Method: DFT, PBE-GGA
State: relaxed

Unit cell a=5.7937 b=5.7937 c=3.7754 alpha=90.00 beta=90.00 gamma=90.00
Last column: nearest neighbours and their distance in Å.
Fractional coordinates of all 5 atoms:
Mg1 0.0000 0.0000 0.0000  2 O 1.89
Ge1 0.5000 0.5000 0.5000  8 I 3.46, 2 Ge 3.78
I1 0.0000 0.5000 0.0000  2 Mg 2.90
I2 0.5000 0.0000 0.0000  2 Mg 2.90
O1 0.0000 0.0000 0.5000  2 Mg 1.89

As for the volume: 25.345 Å³/atom. The uncorrected formation energy is -43 kJ/mol of atoms. As for the energy above the lowest structure with this stoichiometry: 0 meV per atom. The space-group type is P4/mmm.

(2)
Material: Pm6AgPd3
Method: DFT, PBE-GGA
State: relaxed

Unit cell a=9.1617 b=9.1617 c=6.9634 alpha=90.00 beta=90.00 gamma=109.90
Last column: nearest neighbours and their distance in Å.
Fractional coordinates of all 20 atoms:
Pm1 0.0407 0.9593 0.5000  2 Ag 2.90-3.19, 4 Pd 2.91-3.11
Pm2 0.1020 0.5179 0.0189  3 Pd 2.94-3.02, 1 Ag 3.03
Pm3 0.2711 0.3373 0.6559  4 Pd 2.90-3.19
Pm4 0.2871 0.7129 0.5216  1 Ag 3.14, 4 Pm 3.47-3.52
Pm5 0.3373 0.2711 0.1559  4 Pd 2.90-3.19
Pm6 0.4821 0.8980 0.0189  3 Pd 2.94-3.02, 1 Ag 3.03
Pm7 0.5179 0.1020 0.5189  3 Pd 2.94-3.02, 1 Ag 3.03
Pm8 0.6627 0.7289 0.6559  4 Pd 2.90-3.19
Pm9 0.7129 0.2871 0.0216  1 Ag 3.14, 4 Pm 3.47-3.52
Pm10 0.7289 0.6627 0.1559  4 Pd 2.90-3.19
Pm11 0.8980 0.4821 0.5189  3 Pd 2.94-3.02, 1 Ag 3.03
Pm12 0.9593 0.0407 0.0000  2 Ag 2.90-3.19, 4 Pd 2.91-3.11
Ag1 0.1570 0.8430 0.1675  5 Pm 2.90-3.19, 2 Pd 2.93
Ag2 0.8430 0.1570 0.6675  5 Pm 2.90-3.19, 2 Pd 2.93
Pd1 0.0239 0.2622 0.3160  6 Pm 2.91-3.19, 1 Ag 2.93, 1 Pd 3.01
Pd2 0.2622 0.0239 0.8160  6 Pm 2.91-3.19, 1 Ag 2.93, 1 Pd 3.01
Pd3 0.4303 0.5697 0.9380  6 Pm 2.90-2.99
Pd4 0.5697 0.4303 0.4380  6 Pm 2.90-2.99
Pd5 0.7378 0.9761 0.3160  6 Pm 2.91-3.19, 1 Ag 2.93, 1 Pd 3.01
Pd6 0.9761 0.7378 0.8160  6 Pm 2.91-3.19, 1 Ag 2.93, 1 Pd 3.01

As for the energy relative to the elements: -0.421 eV/atom. As for the volume: 27.479 Å³/atom. The space-group type is Cmc2_1.